Entry 1:
The following is a DFT calculation (PBE) of an optimized crystal structure of ScInOs2.

Crystal system: tetragonal
Energy of formation in kJ/mol of formula units: 51
Spin magnetization in μB per cell: 0.0
Fermi-level density of states in states/eV per atom: 1.311

```
data_ScInOs2
_chemical_formula_sum 'Sc1 In1 Os2'
_cell_length_a 3.290
_cell_length_b 3.290
_cell_length_c 6.261
_cell_angle_alpha 90.00
_cell_angle_beta 90.00
_cell_angle_gamma 90.00
_space_group_name_H-M_alt 'P 1'
_space_group_IT_number 1
_space_group_name_Hall 'P 1'
loop_
_atom_site_label
_atom_site_fract_x
_atom_site_fract_y
_atom_site_fract_z
_atom_site_occupancy
Sc1 0.000 0.000 0.000 1
In1 0.000 0.000 0.500 1
Os1 0.500 0.500 0.249 1
Os2 0.500 0.500 0.751 1
```

=====

Entry 2:
The following is a DFT calculation (PBE) of an optimized crystal structure of BaTaRuC2.

Crystal system: tetragonal
Energy of formation in kJ/mol of formula units: 1014
Spin magnetization in μB per cell: 1.4
Fermi-level density of states in states/eV per atom: 1.115

```
data_BaTaRuC2
_chemical_formula_sum 'Ba1 Ta1 Ru1 C2'
_cell_length_a 4.179
_cell_length_b 4.179
_cell_length_c 6.277
_cell_angle_alpha 90.00
_cell_angle_beta 90.00
_cell_angle_gamma 90.00
_space_group_name_H-M_alt 'P 1'
_space_group_IT_number 1
_space_group_name_Hall 'P 1'
loop_
_atom_site_label
_atom_site_fract_x
_atom_site_fract_y
_atom_site_fract_z
_atom_site_occupancy
Ba1 0.000 0.000 0.000 1
Ta1 0.000 0.000 0.500 1
Ru1 0.500 0.500 0.000 1
C1 0.000 0.500 0.500 1
C2 0.500 0.000 0.500 1
```

=====

Entry 3:
The following is a DFT calculation (PBE) of an optimized crystal structure of CdP3.

Crystal system: orthorhombic
Energy of formation in kJ/mol of formula units: 36
Spin magnetization in μB per cell: 0.0
Fermi-level density of states in states/eV per atom: 0.169
Excess energy over the best structure of this formula in the dataset in eV per atom: 0.126

```
data_CdP3
_chemical_formula_sum 'Cd1 P3'
_cell_length_a 3.262
_cell_length_b 4.739
_cell_length_c 5.277
_cell_angle_alpha 90.00
_cell_angle_beta 90.00
_cell_angle_gamma 90.00
_space_group_name_H-M_alt 'P 1'
_space_group_IT_number 1
_space_group_name_Hall 'P 1'
loop_
_atom_site_label
_atom_site_fract_x
_atom_site_fract_y
_atom_site_fract_z
_atom_site_occupancy
Cd1 0.000 0.000 0.000 1
P1 0.000 0.500 0.216 1
P2 0.500 0.000 0.598 1
P3 0.500 0.500 0.501 1
```

=====

Entry 4:
The following is a DFT calculation (PBE) of an optimized crystal structure of Ba2SrMgCl.

Crystal system: tetragonal
Spin magnetization in μB per cell: 0.0
Fermi-level density of states in states/eV per atom: 1.279
Raw formation energy in meV/atom: -591.8

```
data_Ba2SrMgCl
_chemical_formula_sum 'Ba2 Sr1 Mg1 Cl1'
_cell_length_a 6.231
_cell_length_b 6.231
_cell_length_c 5.711
_cell_angle_alpha 90.00
_cell_angle_beta 90.00
_cell_angle_gamma 90.00
_space_group_name_H-M_alt 'P 1'
_space_group_IT_number 1
_space_group_name_Hall 'P 1'
loop_
_atom_site_label
_atom_site_fract_x
_atom_site_fract_y
_atom_site_fract_z
_atom_site_occupancy
Ba1 0.000 0.500 0.000 1
Ba2 0.500 0.000 0.000 1
Sr1 0.000 0.000 0.500 1
Mg1 0.500 0.500 0.500 1
Cl1 0.000 0.000 0.000 1
```

=====

Entry 5:
The following is a DFT calculation (PBE) of an optimized crystal structure of DyAgAu4.

Crystal system: monoclinic
Energy of formation in kJ/mol of formula units: -236
Spin magnetization in μB per cell: 0.0
Fermi-level density of states in states/eV per atom: 0.259
Excess energy over the best structure of this formula in the dataset in eV per atom: 0.004

```
data_DyAgAu4
_chemical_formula_sum 'Dy2 Ag2 Au8'
_cell_length_a 6.150
_cell_length_b 4.708
_cell_length_c 8.864
_cell_angle_alpha 90.00
_cell_angle_beta 109.98
_cell_angle_gamma 90.00
_space_group_name_H-M_alt 'P 1'
_space_group_IT_number 1
_space_group_name_Hall 'P 1'
loop_
_atom_site_label
_atom_site_fract_x
_atom_site_fract_y
_atom_site_fract_z
_atom_site_occupancy
Dy1 0.120 0.250 0.238 1
Dy2 0.880 0.750 0.762 1
Ag1 0.367 0.750 0.736 1
Ag2 0.633 0.250 0.264 1
Au1 0.046 0.250 0.585 1
Au2 0.222 0.250 0.913 1
Au3 0.306 0.750 0.085 1
Au4 0.465 0.750 0.415 1
Au5 0.535 0.250 0.585 1
Au6 0.694 0.250 0.915 1
Au7 0.778 0.750 0.087 1
Au8 0.954 0.750 0.415 1
```

=====

Entry 6:
The following is a DFT calculation (PBE) of an optimized crystal structure of YUIr4.

Crystal system: cubic
Energy of formation in kJ/mol of formula units: -371
Spin magnetization in μB per cell: 2.1
Fermi-level density of states in states/eV per atom: 1.270

```
data_YUIr4
_chemical_formula_sum 'Y1 U1 Ir4'
_cell_length_a 5.353
_cell_length_b 5.353
_cell_length_c 5.353
_cell_angle_alpha 60.00
_cell_angle_beta 60.00
_cell_angle_gamma 60.00
_space_group_name_H-M_alt 'P 1'
_space_group_IT_number 1
_space_group_name_Hall 'P 1'
loop_
_atom_site_label
_atom_site_fract_x
_atom_site_fract_y
_atom_site_fract_z
_atom_site_occupancy
Y1 0.000 0.000 0.000 1
U1 0.250 0.250 0.250 1
Ir1 0.124 0.625 0.625 1
Ir2 0.625 0.124 0.625 1
Ir3 0.625 0.625 0.124 1
Ir4 0.625 0.625 0.625 1
```

=====

Entry 7:
The following is a DFT calculation (PBE) of an optimized crystal structure of LiTbNdMn.

Crystal system: cubic
Energy of formation in kJ/mol of formula units: 58
Spin magnetization in μB per cell: 2.5
Fermi-level density of states in states/eV per atom: 1.115

```
data_LiTbNdMn
_chemical_formula_sum 'Li1 Tb1 Nd1 Mn1'
_cell_length_a 5.129
_cell_length_b 5.129
_cell_length_c 5.129
_cell_angle_alpha 60.00
_cell_angle_beta 60.00
_cell_angle_gamma 60.00
_space_group_name_H-M_alt 'P 1'
_space_group_IT_number 1
_space_group_name_Hall 'P 1'
loop_
_atom_site_label
_atom_site_fract_x
_atom_site_fract_y
_atom_site_fract_z
_atom_site_occupancy
Li1 0.000 0.000 0.000 1
Tb1 0.750 0.750 0.750 1
Nd1 0.250 0.250 0.250 1
Mn1 0.500 0.500 0.500 1
```

=====

Entry 8:
The following is a DFT calculation (PBE) of an optimized crystal structure of Ag3W.

Crystal system: cubic
Energy of formation in kJ/mol of formula units: 373
Spin magnetization in μB per cell: 2.3
Fermi-level density of states in states/eV per atom: 1.401
Excess energy over the best structure of this formula in the dataset in eV per atom: 0.578

```
data_Ag3W
_chemical_formula_sum 'Ag3 W1'
_cell_length_a 4.139
_cell_length_b 4.139
_cell_length_c 4.139
_cell_angle_alpha 90.00
_cell_angle_beta 90.00
_cell_angle_gamma 90.00
_space_group_name_H-M_alt 'P 1'
_space_group_IT_number 1
_space_group_name_Hall 'P 1'
loop_
_atom_site_label
_atom_site_fract_x
_atom_site_fract_y
_atom_site_fract_z
_atom_site_occupancy
Ag1 0.000 0.000 0.500 1
Ag2 0.000 0.500 0.000 1
Ag3 0.500 0.000 0.000 1
W1 0.500 0.500 0.500 1
```

=====

Entry 9:
The following is a DFT calculation (PBE) of an optimized crystal structure of SrGe2P2.

Crystal system: tetragonal
Energy of formation in kJ/mol of formula units: -106
Spin magnetization in μB per cell: 0.0
Fermi-level density of states in states/eV per atom: 0.420

```
data_SrGe2P2
_chemical_formula_sum 'Sr1 Ge2 P2'
_cell_length_a 7.084
_cell_length_b 7.084
_cell_length_c 7.084
_cell_angle_alpha 146.18
_cell_angle_beta 146.18
_cell_angle_gamma 48.57
_space_group_name_H-M_alt 'P 1'
_space_group_IT_number 1
_space_group_name_Hall 'P 1'
loop_
_atom_site_label
_atom_site_fract_x
_atom_site_fract_y
_atom_site_fract_z
_atom_site_occupancy
Sr1 0.000 0.000 0.000 1
Ge1 0.250 0.750 0.500 1
Ge2 0.750 0.250 0.500 1
P1 0.416 0.416 0.000 1
P2 0.584 0.584 0.000 1
```

=====

Entry 10:
The following is a DFT calculation (PBE) of an optimized crystal structure of ScCdP4.

Crystal system: cubic
Energy of formation in kJ/mol of formula units: 86
Spin magnetization in μB per cell: 0.0
Fermi-level density of states in states/eV per atom: 0.692

```
data_ScCdP4
_chemical_formula_sum 'Sc1 Cd1 P4'
_cell_length_a 5.229
_cell_length_b 5.229
_cell_length_c 5.229
_cell_angle_alpha 60.00
_cell_angle_beta 60.00
_cell_angle_gamma 60.00
_space_group_name_H-M_alt 'P 1'
_space_group_IT_number 1
_space_group_name_Hall 'P 1'
loop_
_atom_site_label
_atom_site_fract_x
_atom_site_fract_y
_atom_site_fract_z
_atom_site_occupancy
Sc1 0.000 0.000 0.000 1
Cd1 0.750 0.750 0.750 1
P1 0.377 0.377 0.377 1
P2 0.377 0.377 0.870 1
P3 0.377 0.870 0.377 1
P4 0.870 0.377 0.377 1
```